This record from the Alexandria database describes an optimized crystal structure of InCo. The functional is GGA-PBE.

Properties
Total magnetization, μB/f.u.: 1.25
DOS(E_F), states/eV/f.u.: 3.72
E_tot, eV per atom: -3.76

Unit cell a=7.1757 b=7.1757 c=7.1757 alpha=90.00 beta=90.00 gamma=90.00
Last column: nearest neighbours and their distance in Å.
Positions (direct):
In (0.0000, 0.2500, 0.5000)  4 Co 2.54
In (0.0000, 0.7500, 0.5000)  4 Co 2.54
In (0.2500, 0.5000, 0.0000)  4 Co 2.54
In (0.5000, 0.0000, 0.2500)  4 Co 2.54
In (0.5000, 0.0000, 0.7500)  4 Co 2.54
In (0.7500, 0.5000, 0.0000)  4 Co 2.54
Co (0.0000, 0.5000, 0.2500)  4 In 2.54
Co (0.0000, 0.5000, 0.7500)  4 In 2.54
Co (0.2500, 0.0000, 0.5000)  4 In 2.54
Co (0.5000, 0.2500, 0.0000)  4 In 2.54
Co (0.5000, 0.7500, 0.0000)  4 In 2.54
Co (0.7500, 0.0000, 0.5000)  4 In 2.54


This record from the Alexandria database describes an optimized crystal structure of In5Co3. The functional is GGA-PBE.

Properties
Total magnetization, μB/f.u.: 0.94
Excess energy over the best structure of this formula in the dataset, meV/atom: 0.0
DOS(E_F), states/eV/f.u.: 9.18

Unit cell a=7.5965 b=7.5965 c=5.7013 alpha=90.00 beta=90.00 gamma=120.00
Last column: nearest neighbours and their distance in Å.
Positions (direct):
In (0.0000, 0.2439, 0.2500)  3 Co 2.64-2.72
In (0.0000, 0.7561, 0.7500)  3 Co 2.64-2.72
In (0.2439, 0.0000, 0.2500)  3 Co 2.64-2.72
In (0.2439, 0.2439, 0.7500)  3 Co 2.64-2.72
In (0.3333, 0.6667, 0.0000)  6 Co 2.73, 2 In 2.85
In (0.3333, 0.6667, 0.5000)  6 Co 2.73, 2 In 2.85
In (0.6667, 0.3333, 0.0000)  6 Co 2.73, 2 In 2.85
In (0.6667, 0.3333, 0.5000)  6 Co 2.73, 2 In 2.85
In (0.7561, 0.0000, 0.7500)  3 Co 2.64-2.72
In (0.7561, 0.7561, 0.2500)  3 Co 2.64-2.72
Co (0.0000, 0.3986, 0.7500)  7 In 2.64-2.73
Co (0.0000, 0.6014, 0.2500)  7 In 2.64-2.73
Co (0.3986, 0.0000, 0.7500)  7 In 2.64-2.73
Co (0.3986, 0.3986, 0.2500)  7 In 2.64-2.73
Co (0.6014, 0.0000, 0.2500)  7 In 2.64-2.73
Co (0.6014, 0.6014, 0.7500)  7 In 2.64-2.73


This record from the Alexandria database describes an optimized crystal structure of InCo. The functional is GGA-PBE.

Properties
Total magnetization, μB/f.u.: 1.49
DOS(E_F), states/eV/f.u.: 1.78
E_tot, eV per atom: -4.63

Unit cell a=3.3374 b=3.3374 c=6.6767 alpha=90.00 beta=90.00 gamma=90.00
Last column: nearest neighbours and their distance in Å.
Positions (direct):
In (0.2500, 0.2500, 0.1731)  4 Co 2.75
In (0.7500, 0.7500, 0.8269)  4 Co 2.75
Co (0.2500, 0.7500, 0.5000)  4 Co 2.36
Co (0.7500, 0.2500, 0.5000)  4 Co 2.36


This record from the Alexandria database describes an optimized crystal structure of InCo. The functional is GGA-PBE.

Properties
Total magnetization, μB/f.u.: 1.45
DOS(E_F), states/eV/f.u.: 1.67
E_tot, eV per atom: -4.55

Unit cell a=3.4766 b=3.4766 c=7.2490 alpha=90.00 beta=90.00 gamma=120.00
Last column: nearest neighbours and their distance in Å.
Positions (direct):
In (0.3333, 0.6667, 0.1738)  4 Co 2.74-2.87
In (0.6667, 0.3333, 0.8262)  4 Co 2.74-2.87
Co (0.3333, 0.6667, 0.5694)  3 Co 2.25
Co (0.6667, 0.3333, 0.4306)  3 Co 2.25


Which of these has the lowest total magnetization? In5Co3


Repeat the second record exactly.
This record from the Alexandria database describes an optimized crystal structure of In5Co3. The functional is GGA-PBE.

Properties
Total magnetization, μB/f.u.: 0.94
Excess energy over the best structure of this formula in the dataset, meV/atom: 0.0
DOS(E_F), states/eV/f.u.: 9.18

Unit cell a=7.5965 b=7.5965 c=5.7013 alpha=90.00 beta=90.00 gamma=120.00
Last column: nearest neighbours and their distance in Å.
Positions (direct):
In (0.0000, 0.2439, 0.2500)  3 Co 2.64-2.72
In (0.0000, 0.7561, 0.7500)  3 Co 2.64-2.72
In (0.2439, 0.0000, 0.2500)  3 Co 2.64-2.72
In (0.2439, 0.2439, 0.7500)  3 Co 2.64-2.72
In (0.3333, 0.6667, 0.0000)  6 Co 2.73, 2 In 2.85
In (0.3333, 0.6667, 0.5000)  6 Co 2.73, 2 In 2.85
In (0.6667, 0.3333, 0.0000)  6 Co 2.73, 2 In 2.85
In (0.6667, 0.3333, 0.5000)  6 Co 2.73, 2 In 2.85
In (0.7561, 0.0000, 0.7500)  3 Co 2.64-2.72
In (0.7561, 0.7561, 0.2500)  3 Co 2.64-2.72
Co (0.0000, 0.3986, 0.7500)  7 In 2.64-2.73
Co (0.0000, 0.6014, 0.2500)  7 In 2.64-2.73
Co (0.3986, 0.0000, 0.7500)  7 In 2.64-2.73
Co (0.3986, 0.3986, 0.2500)  7 In 2.64-2.73
Co (0.6014, 0.0000, 0.2500)  7 In 2.64-2.73
Co (0.6014, 0.6014, 0.7500)  7 In 2.64-2.73